<P>
VASP calculation (GGA-PBE) on a geometry-optimized PmNd4Tm2 structure.

a b c (Å): 12.598 12.598 6.832
angles (deg): 97.00 97.00 150.20
Fractional coordinates of all 14 atoms:
Nd: 0.177 0.715 0.367
Nd: 0.793 0.185 0.399
Nd: 0.598 0.561 0.634
Nd: 0.185 0.793 0.899
Nd: 0.561 0.598 0.134
Nd: 0.037 0.144 0.601
Nd: 0.715 0.177 0.867
Nd: 0.144 0.037 0.101
Tm: 0.621 0.304 0.449
Tm: 0.105 0.922 0.551
Tm: 0.922 0.105 0.051
Tm: 0.304 0.621 0.949
Pm: 0.424 0.674 0.500
Pm: 0.674 0.424 0.000

Results
crystal system = orthorhombic
SG = Fdd2 (43)
volume = 33.895 Å³ per atom
total moment = 0.0 μB per formula unit



<Q>
VASP calculation (GGA-PBE) on a geometry-optimized PmNd4Tm2 structure.

a b c (Å): 6.889 9.039 9.039
angles (deg): 78.94 67.60 67.60
Fractional coordinates of all 14 atoms:
Pm: 0.500 0.500 0.000
Pm: 0.000 0.500 0.000
Nd: 0.149 0.352 0.349
Nd: 0.769 0.760 0.260
Nd: 0.851 0.151 0.148
Nd: 0.149 0.849 0.852
Nd: 0.212 0.760 0.260
Nd: 0.851 0.648 0.651
Nd: 0.788 0.240 0.740
Nd: 0.231 0.240 0.740
Tm: 0.500 0.000 0.000
Tm: 0.500 0.500 0.500
Tm: 0.281 0.969 0.469
Tm: 0.719 0.031 0.531

Results
crystal system = orthorhombic
SG = Imma (74)
volume = 34.318 Å³ per atom
total moment = 0.0 μB per formula unit



Which of them is most stable? Easy: <P>.



<P>
VASP calculation (GGA-PBE) on a geometry-optimized Pm3NdTm2 structure.

a b c (Å): 3.543 6.845 17.607
angles (deg): 79.67 84.22 75.00
Fractional coordinates of all 12 atoms:
Pm: 0.933 0.971 0.163
Pm: 0.274 0.118 0.335
Pm: 0.726 0.882 0.665
Pm: 0.628 0.734 0.011
Pm: 0.067 0.029 0.837
Pm: 0.372 0.266 0.989
Tm: 0.364 0.768 0.504
Tm: 0.199 0.438 0.164
Tm: 0.636 0.232 0.496
Tm: 0.801 0.562 0.836
Nd: 0.544 0.594 0.318
Nd: 0.456 0.406 0.682

Results
crystal system = monoclinic
SG = C2/m (12)
volume = 33.766 Å³ per atom
total moment = 0.0 μB per formula unit



<Q>
VASP calculation (GGA-PBE) on a geometry-optimized Pm3NdTm2 structure.

a b c (Å): 7.194 6.233 9.534
angles (deg): 89.84 112.16 90.00
Fractional coordinates of all 12 atoms:
Tm: 0.208 0.418 0.665
Tm: 0.456 0.918 0.665
Tm: 0.544 0.082 0.335
Tm: 0.792 0.582 0.335
Nd: 0.126 0.250 0.000
Nd: 0.874 0.750 0.000
Pm: 0.958 0.916 0.663
Pm: 0.706 0.416 0.663
Pm: 0.294 0.584 0.337
Pm: 0.376 0.750 0.000
Pm: 0.042 0.084 0.337
Pm: 0.624 0.250 0.000

Results
crystal system = monoclinic
SG = C2/c (15)
volume = 32.992 Å³ per atom
total moment = 0.0 μB per formula unit



Which of them is most stable? Easy: <Q>.



<P>
VASP calculation (GGA-PBE) on a geometry-optimized Pm3NdY structure.

a b c (Å): 6.388 6.937 9.419
angles (deg): 108.76 90.05 117.40
Fractional coordinates of all 10 atoms:
Pm: 0.968 0.101 0.851
Pm: 0.165 0.501 0.248
Pm: 0.835 0.499 0.752
Pm: 0.237 0.299 0.550
Pm: 0.032 0.899 0.149
Pm: 0.763 0.701 0.450
Nd: 0.363 0.898 0.650
Nd: 0.637 0.102 0.350
Y: 0.436 0.701 0.950
Y: 0.564 0.299 0.050

Results
crystal system = triclinic
SG = P-1 (2)
volume = 34.528 Å³ per atom
total moment = 0.0 μB per formula unit



<Q>
VASP calculation (GGA-PBE) on a geometry-optimized Pm3NdY structure.

a b c (Å): 3.642 10.324 9.621
angles (deg): 74.46 100.91 90.00
Fractional coordinates of all 10 atoms:
Nd: 0.400 0.551 0.799
Nd: 0.600 0.449 0.201
Pm: 0.799 0.349 0.599
Pm: 0.399 0.050 0.798
Pm: 0.000 0.249 0.001
Pm: 0.201 0.651 0.401
Pm: 0.601 0.950 0.202
Pm: 0.000 0.751 0.999
Y: 0.800 0.852 0.599
Y: 0.200 0.148 0.401

Results
crystal system = monoclinic
SG = C2/m (12)
volume = 34.176 Å³ per atom
total moment = 0.0 μB per formula unit



Which of them is most stable? Easy: <Q>.



<P>
VASP calculation (GGA-PBE) on a geometry-optimized Pm2Nd5Y3 structure.

a b c (Å): 6.537 11.140 11.140
angles (deg): 102.71 72.94 72.94
Fractional coordinates of all 20 atoms:
Y: 0.591 0.577 0.241
Y: 0.091 0.241 0.577
Y: 0.409 0.423 0.759
Y: 0.250 0.000 0.000
Y: 0.750 0.000 0.000
Y: 0.909 0.759 0.423
Nd: 0.256 0.913 0.575
Nd: 0.998 0.752 0.752
Nd: 0.750 0.500 0.500
Nd: 0.250 0.500 0.500
Nd: 0.744 0.087 0.425
Nd: 0.756 0.575 0.913
Nd: 0.002 0.248 0.248
Nd: 0.244 0.425 0.087
Nd: 0.502 0.248 0.248
Nd: 0.498 0.752 0.752
Pm: 0.586 0.083 0.745
Pm: 0.414 0.917 0.255
Pm: 0.914 0.255 0.917
Pm: 0.086 0.745 0.083

Results
crystal system = orthorhombic
SG = Ibam (72)
volume = 34.925 Å³ per atom
total moment = 0.0 μB per formula unit



<Q>
VASP calculation (GGA-PBE) on a geometry-optimized Pm2Nd5Y3 structure.

a b c (Å): 10.128 10.110 11.319
angles (deg): 129.16 129.19 65.60
Fractional coordinates of all 20 atoms:
Pm: 0.778 0.033 0.752
Pm: 0.222 0.967 0.248
Pm: 0.526 0.281 0.248
Pm: 0.474 0.719 0.752
Nd: 0.276 0.526 0.052
Nd: 0.975 0.225 0.451
Nd: 0.885 0.627 0.755
Nd: 0.486 0.736 0.472
Nd: 0.115 0.373 0.245
Nd: 0.724 0.474 0.948
Nd: 0.370 0.128 0.755
Nd: 0.630 0.872 0.245
Nd: 0.514 0.264 0.528
Nd: 0.025 0.775 0.549
Y: 0.768 0.018 0.036
Y: 0.278 0.525 0.750
Y: 0.028 0.775 0.250
Y: 0.722 0.475 0.250
Y: 0.232 0.982 0.964
Y: 0.972 0.225 0.750

Results
crystal system = monoclinic
SG = C2/c (15)
volume = 34.819 Å³ per atom
total moment = 0.0 μB per formula unit



Which of them is most stable? Easy: <Q>.



<P>
VASP calculation (GGA-PBE) on a geometry-optimized Pm3Nd4Y4 structure.

a b c (Å): 3.621 9.457 12.326
angles (deg): 112.56 98.44 90.00
Fractional coordinates of all 11 atoms:
Y: 0.741 0.241 0.483
Y: 0.500 0.818 0.000
Y: 0.500 0.182 0.000
Y: 0.259 0.759 0.517
Nd: 0.644 0.467 0.289
Nd: 0.356 0.178 0.711
Nd: 0.644 0.822 0.289
Nd: 0.356 0.533 0.711
Pm: 0.000 0.500 0.000
Pm: 0.109 0.109 0.217
Pm: 0.891 0.891 0.783

Results
crystal system = orthorhombic
SG = Immm (71)
volume = 34.988 Å³ per atom
total moment = 0.0 μB per formula unit



<Q>
VASP calculation (GGA-PBE) on a geometry-optimized Pm3Nd4Y4 structure.

a b c (Å): 5.787 6.745 10.770
angles (deg): 90.00 90.00 115.40
Fractional coordinates of all 11 atoms:
Pm: 0.407 0.813 0.706
Pm: 0.407 0.813 0.294
Pm: 0.255 0.509 0.000
Y: 0.102 0.205 0.299
Y: 0.102 0.205 0.701
Y: 0.555 0.110 0.000
Y: 0.612 0.223 0.500
Nd: 0.961 0.922 0.000
Nd: 0.758 0.516 0.790
Nd: 0.882 0.764 0.500
Nd: 0.758 0.516 0.210

Results
crystal system = orthorhombic
SG = Amm2 (38)
volume = 34.524 Å³ per atom
total moment = 0.0 μB per formula unit



Which of them is most stable? Easy: <P>.



<P>
VASP calculation (GGA-PBE) on a geometry-optimized Pm4NdY2 structure.

a b c (Å): 12.629 12.629 6.847
angles (deg): 97.04 97.04 150.13
Fractional coordinates of all 14 atoms:
Pm: 0.184 0.790 0.901
Pm: 0.790 0.184 0.401
Pm: 0.558 0.593 0.128
Pm: 0.033 0.140 0.599
Pm: 0.716 0.180 0.873
Pm: 0.593 0.558 0.628
Pm: 0.180 0.716 0.373
Pm: 0.140 0.033 0.099
Nd: 0.681 0.431 0.000
Nd: 0.431 0.681 0.500
Y: 0.302 0.620 0.944
Y: 0.925 0.108 0.056
Y: 0.620 0.302 0.444
Y: 0.108 0.925 0.556

Results
crystal system = orthorhombic
SG = Fdd2 (43)
volume = 34.179 Å³ per atom
total moment = 0.0 μB per formula unit



<Q>
VASP calculation (GGA-PBE) on a geometry-optimized Pm4NdY2 structure.

a b c (Å): 6.892 9.086 9.086
angles (deg): 78.42 67.71 67.71
Fractional coordinates of all 14 atoms:
Y: 0.500 0.000 0.000
Y: 0.500 0.500 0.500
Y: 0.281 0.969 0.469
Y: 0.719 0.031 0.531
Pm: 0.212 0.758 0.258
Pm: 0.855 0.643 0.647
Pm: 0.228 0.242 0.742
Pm: 0.788 0.242 0.742
Pm: 0.145 0.357 0.353
Pm: 0.145 0.853 0.857
Pm: 0.772 0.758 0.258
Pm: 0.855 0.147 0.143
Nd: 0.500 0.500 0.000
Nd: 0.000 0.500 0.000

Results
crystal system = orthorhombic
SG = Imma (74)
volume = 34.723 Å³ per atom
total moment = 0.0 μB per formula unit



Which of them is most stable? Easy: <P>.



<P>
VASP calculation (GGA-PBE) on a geometry-optimized Pm12Nd7Y structure.

a b c (Å): 10.044 10.044 10.044
angles (deg): 109.47 109.47 109.47
Fractional coordinates of all 20 atoms:
Pm: 0.248 0.248 0.496
Pm: 0.752 0.752 0.504
Pm: 0.248 0.496 0.248
Pm: 0.001 0.248 0.752
Pm: 0.504 0.752 0.752
Pm: 0.999 0.752 0.248
Pm: 0.248 0.999 0.752
Pm: 0.752 0.248 0.999
Pm: 0.496 0.248 0.248
Pm: 0.248 0.752 0.001
Pm: 0.752 0.001 0.248
Pm: 0.752 0.504 0.752
Nd: 0.000 0.500 0.000
Nd: 0.500 0.500 0.500
Nd: 0.000 0.000 0.500
Nd: 0.000 0.500 0.500
Nd: 0.500 0.500 0.000
Nd: 0.500 0.000 0.000
Nd: 0.500 0.000 0.500
Y: 0.000 0.000 0.000

Results
crystal system = cubic
SG = Im-3m (229)
volume = 39.003 Å³ per atom
total moment = 0.0 μB per formula unit



<Q>
VASP calculation (GGA-PBE) on a geometry-optimized Pm12Nd7Y structure.

a b c (Å): 8.925 8.925 8.925
angles (deg): 87.01 87.01 87.01
Fractional coordinates of all 20 atoms:
Y: 0.000 0.000 0.000
Nd: 0.500 0.500 0.500
Nd: 0.077 0.151 0.396
Nd: 0.849 0.604 0.923
Nd: 0.151 0.396 0.077
Nd: 0.604 0.923 0.849
Nd: 0.396 0.077 0.151
Nd: 0.923 0.849 0.604
Pm: 0.493 0.616 0.135
Pm: 0.253 0.725 0.853
Pm: 0.384 0.865 0.507
Pm: 0.865 0.507 0.384
Pm: 0.147 0.747 0.275
Pm: 0.747 0.275 0.147
Pm: 0.616 0.135 0.493
Pm: 0.507 0.384 0.865
Pm: 0.725 0.853 0.253
Pm: 0.853 0.253 0.725
Pm: 0.135 0.493 0.616
Pm: 0.275 0.147 0.747

Results
crystal system = trigonal
SG = R-3 (148)
volume = 35.411 Å³ per atom
total moment = 0.0 μB per formula unit



Which of them is most stable? Easy: <Q>.



<P>
VASP calculation (GGA-PBE) on a geometry-optimized PmNdY6 structure.

a b c (Å): 9.700 8.698 6.515
angles (deg): 48.10 41.89 56.09
Fractional coordinates of all 8 atoms:
Nd: 0.500 0.500 0.500
Y: 0.457 0.250 0.251
Y: 0.543 0.750 0.749
Y: 0.957 0.457 0.336
Y: 0.250 0.043 0.164
Y: 0.750 0.957 0.836
Y: 0.043 0.543 0.664
Pm: 0.000 0.000 0.000

Results
crystal system = trigonal
SG = R-3 (148)
volume = 33.891 Å³ per atom
total moment = 0.0 μB per formula unit



<Q>
VASP calculation (GGA-PBE) on a geometry-optimized PmNdY6 structure.

a b c (Å): 6.099 6.099 9.488
angles (deg): 87.53 116.77 111.50
Fractional coordinates of all 8 atoms:
Y: 0.637 0.543 0.700
Y: 0.363 0.457 0.300
Y: 0.299 0.629 0.928
Y: 0.844 0.937 0.300
Y: 0.156 0.063 0.700
Y: 0.701 0.371 0.072
Nd: 0.000 0.000 0.000
Pm: 0.500 0.000 0.500

Results
crystal system = monoclinic
SG = C2/m (12)
volume = 36.247 Å³ per atom
total moment = 0.0 μB per formula unit



Which of them is most stable? Easy: <P>.



<P>
VASP calculation (GGA-PBE) on a geometry-optimized Pm2Nd5Y12 structure.

a b c (Å): 6.816 14.297 14.209
angles (deg): 150.89 84.36 102.70
Fractional coordinates of all 19 atoms:
Y: 0.585 0.008 0.782
Y: 0.148 0.559 0.962
Y: 0.965 0.151 0.360
Y: 0.335 0.287 0.900
Y: 0.665 0.713 0.100
Y: 0.415 0.992 0.218
Y: 0.569 0.487 0.279
Y: 0.852 0.441 0.038
Y: 0.035 0.849 0.640
Y: 0.431 0.513 0.721
Y: 0.968 0.656 0.843
Y: 0.032 0.344 0.157
Nd: 0.391 0.779 0.374
Nd: 0.731 0.420 0.440
Nd: 0.000 0.000 0.500
Nd: 0.269 0.580 0.560
Nd: 0.609 0.221 0.626
Pm: 0.269 0.077 0.062
Pm: 0.731 0.923 0.938

Results
crystal system = triclinic
SG = P-1 (2)
volume = 33.903 Å³ per atom
total moment = 0.0 μB per formula unit



<Q>
VASP calculation (GGA-PBE) on a geometry-optimized Pm2Nd5Y12 structure.

a b c (Å): 7.129 9.915 10.427
angles (deg): 70.78 90.00 111.07
Fractional coordinates of all 19 atoms:
Y: 0.090 0.675 0.522
Y: 0.024 0.048 0.756
Y: 0.504 0.008 0.326
Y: 0.593 0.681 0.870
Y: 0.407 0.319 0.130
Y: 0.415 0.325 0.478
Y: 0.912 0.319 0.130
Y: 0.976 0.952 0.244
Y: 0.585 0.675 0.522
Y: 0.088 0.681 0.870
Y: 0.496 0.992 0.674
Y: 0.910 0.325 0.478
Nd: 0.321 0.642 0.211
Nd: 0.000 0.000 0.500
Nd: 0.188 0.377 0.813
Nd: 0.679 0.358 0.789
Nd: 0.812 0.623 0.187
Pm: 0.280 0.000 0.000
Pm: 0.720 0.000 0.000

Results
crystal system = monoclinic
SG = C2/m (12)
volume = 33.871 Å³ per atom
total moment = 0.0 μB per formula unit



Which of them is most stable? Easy: <P>.